(i)
TlHBr | Alexandria via LeMat-Bulk | GGA-PBE | optimized geometry; crystal system = monoclinic
1.0
-2.7854 -0.8846 -2.2591
5.0307 -4.3422 -1.4824
-3.0443 -3.0537 4.9492
H Tl Br
2 2 2
Cartesian
0.8397 -5.6680 1.1842
-1.6387 -2.6125 0.0235
0.8637 -1.3780 -0.5253
-1.6626 -6.9026 1.7330
-2.1680 -3.5872 1.0579
1.3691 -4.6934 0.1498


(ii)
TlHBr | Alexandria via LeMat-Bulk | GGA-PBE | optimized geometry; crystal system = orthorhombic
1.0
-3.2886 1.5361 1.4119
-1.6468 -5.0311 -3.7333
0.3545 -3.7787 4.9368
Tl H Br
2 2 2
Cartesian
-2.1810 -3.1055 3.6701
-2.3998 -4.1683 -1.0547
-4.0399 -3.3949 -0.3446
-0.5409 -3.8788 2.9600
-2.1983 -6.0263 1.4361
-2.3825 -1.2475 1.1793


Quick one: least stable of them? (i)


(i)
TlHBr3 | Alexandria via LeMat-Bulk | GGA-PBE | optimized geometry; crystal system = cubic
1.0
-3.9980 -2.1263 3.3103
2.8748 -4.8008 0.3885
2.6859 1.9735 4.5116
H Tl Br
1 1 3
Cartesian
0.7814 -2.4768 4.1052
0.0000 0.0000 0.0000
1.4374 -2.4004 0.1942
1.3429 0.9867 2.2558
-1.9990 -1.0631 1.6551


(ii)
TlHBr3 | Alexandria via LeMat-Bulk | GGA-PBE | optimized geometry; crystal system = monoclinic
1.0
1.6016 8.1585 0.0058
-1.6016 8.1585 0.0058
0.0000 1.1791 13.0819
Tl H Br
2 2 6
Cartesian
0.0000 11.9920 4.5142
0.0000 5.5041 8.5794
0.0000 3.1719 11.7195
0.0000 14.3242 1.3741
0.0000 9.3624 2.8212
0.0000 5.5610 1.3093
0.0000 2.6467 6.9243
0.0000 11.9350 11.7843
0.0000 14.8494 6.1693
0.0000 8.1337 10.2724


Quick one: least stable of them? (i)


(i)
UHBr3 | Alexandria via LeMat-Bulk | GGA-PBE | optimized geometry; crystal system = monoclinic
1.0
7.4627 0.0000 0.2128
0.0000 6.6215 0.0000
-0.8167 0.0000 14.1811
U H Br
4 4 12
Cartesian
0.4822 3.2160 2.1154
0.0738 3.4054 9.2059
6.5722 3.2160 5.1880
6.1638 3.4054 12.2785
0.6009 2.1730 3.9431
6.4535 2.1730 3.3602
0.1925 4.4484 11.0337
6.0451 4.4484 10.4508
4.5131 1.5470 5.5028
4.1047 5.0745 12.5933
1.0444 1.8098 11.3710
0.2836 4.8458 14.0029
1.4528 4.8116 4.2804
2.1329 5.0745 8.8911
5.9540 4.8458 7.4816
5.1932 1.8098 10.1135
6.3624 1.7757 0.3910
5.6016 4.8116 3.0229
2.5413 1.5470 1.8006
0.6920 1.7757 6.9123


(ii)
UHBr3 | Alexandria via LeMat-Bulk | GGA-PBE | optimized geometry; crystal system = monoclinic
1.0
3.9410 0.0000 0.0000
0.0000 10.1740 -1.0739
0.0000 0.4497 7.0153
U H Br
2 2 6
Cartesian
0.9852 7.3781 -0.4169
2.9557 3.2456 6.3583
2.9557 3.1223 4.3893
0.9852 7.5014 1.5520
2.9557 5.6370 0.8832
0.9852 2.6534 1.4841
2.9557 9.2874 0.5210
0.9852 4.9867 5.0582
0.9852 1.3363 5.4203
2.9557 7.9703 4.4573


Quick one: least stable of them? (ii)


(i)
VH2Br | Alexandria via LeMat-Bulk | GGA-PBE | optimized geometry; crystal system = tetragonal
1.0
6.2519 0.0000 0.0000
0.0000 6.2519 0.0000
3.1260 3.1260 2.6887
H Br V
4 2 2
Cartesian
3.6520 1.5630 0.6722
2.6000 4.6890 0.6722
4.6890 5.7259 2.0165
7.8149 6.7779 2.0165
0.0000 0.0000 0.0000
6.2519 3.1260 1.3443
3.1260 3.1260 0.0000
3.1260 6.2519 1.3443


(ii)
VH2Br | Alexandria via LeMat-Bulk | GGA-PBE | optimized geometry; crystal system = cubic
1.0
0.0000 2.8402 2.8402
2.8402 0.0000 2.8402
2.8402 2.8402 0.0000
H Br V
2 1 1
Cartesian
1.4201 1.4201 1.4201
4.2602 4.2602 4.2602
2.8402 2.8402 2.8402
0.0000 0.0000 0.0000


Quick one: least stable of them? (ii)


(i)
VHBr3 | Alexandria via LeMat-Bulk | GGA-PBE | optimized geometry; crystal system = monoclinic
1.0
2.6060 -5.6413 -4.0404
5.5463 -4.1540 -2.6314
0.7483 -8.1711 7.0635
V H Br
2 2 6
Cartesian
2.5966 -9.2656 4.3621
6.3040 -8.7007 -3.9704
7.4052 -13.2651 -1.4503
1.4954 -4.7013 1.8420
3.1585 -5.3081 -0.9877
5.5827 -9.5657 -1.5522
3.3179 -8.4007 1.9439
7.6363 -15.8007 0.7439
5.7422 -12.6582 1.3794
1.2643 -2.1657 -0.3522


(ii)
VHBr3 | Alexandria via LeMat-Bulk | GGA-PBE | optimized geometry; crystal system = cubic
1.0
5.0877 0.0000 0.0000
0.0000 5.0877 0.0000
0.0000 0.0000 5.0877
H Br V
1 3 1
Cartesian
2.5439 2.5439 2.5439
0.0000 2.5439 0.0000
0.0000 0.0000 2.5439
2.5439 0.0000 0.0000
0.0000 0.0000 0.0000


(iii)
VHBr3 | Alexandria via LeMat-Bulk | GGA-PBE | optimized geometry; crystal system = cubic
1.0
-1.0571 -4.3585 -1.2643
4.1694 -1.4453 1.4964
-1.7918 -0.7918 4.2278
H Br V
1 3 1
Cartesian
0.0000 0.0000 0.0000
2.0847 -0.7227 0.7482
-0.8959 -0.3959 2.1139
-0.5286 -2.1792 -0.6322
0.6602 -3.2978 2.2299


Quick one: least stable of them? (iii)


(i)
VH3Br | Alexandria via LeMat-Bulk | GGA-PBE | optimized geometry; crystal system = cubic
1.0
3.9381 0.0000 0.0000
0.0000 3.9381 0.0000
0.0000 0.0000 3.9381
H Br V
3 1 1
Cartesian
0.0000 1.9691 0.0000
0.0000 0.0000 1.9691
1.9691 0.0000 0.0000
0.0000 0.0000 0.0000
1.9691 1.9691 1.9691


(ii)
VH3Br | Alexandria via LeMat-Bulk | GGA-PBE | optimized geometry; crystal system = cubic
1.0
3.6665 0.0000 0.0000
0.0000 3.6665 0.0000
0.0000 0.0000 3.6665
H Br V
3 1 1
Cartesian
0.0000 1.8332 0.0000
0.0000 0.0000 1.8332
1.8332 0.0000 0.0000
1.8332 1.8332 1.8332
0.0000 0.0000 0.0000


Quick one: least stable of them? (i)


(i)
H3WBr | Alexandria via LeMat-Bulk | GGA-PBE | optimized geometry; crystal system = cubic
1.0
3.6292 0.0000 0.0000
0.0000 3.6292 0.0000
0.0000 0.0000 3.6292
H Br W
3 1 1
Cartesian
0.0000 1.8146 0.0000
0.0000 0.0000 1.8146
1.8146 0.0000 0.0000
0.0000 0.0000 0.0000
1.8146 1.8146 1.8146


(ii)
H3WBr | Alexandria via LeMat-Bulk | GGA-PBE | optimized geometry; crystal system = cubic
1.0
-2.7263 1.0441 -2.3420
-0.5778 -3.5807 -0.9237
-2.4983 -0.3113 2.7695
H Br W
3 1 1
Cartesian
-0.2889 -1.7903 -0.4618
-1.2491 -0.1556 1.3847
-1.3632 0.5221 -1.1710
-2.9012 -1.4239 -0.2481
0.0000 0.0000 0.0000


Quick one: least stable of them? (i)


(i)
HWBr2 | Alexandria via LeMat-Bulk | GGA-PBE | optimized geometry; crystal system = trigonal
1.0
1.8910 0.0000 9.1848
-0.9455 1.6377 9.1848
-0.9455 -1.6377 9.1848
H Br W
1 2 1
Cartesian
0.0000 0.0000 0.0000
0.0000 0.0000 2.7566
0.0000 0.0000 24.7977
0.0000 0.0000 13.7771


(ii)
HWBr2 | Alexandria via LeMat-Bulk | GGA-PBE | optimized geometry; crystal system = tetragonal
1.0
-3.9855 0.6412 -3.8210
-3.5670 -2.7472 3.2596
-5.0840 3.0879 1.7782
H Br W
2 4 2
Cartesian
-3.7763 -1.0530 -0.2807
-6.2136 -0.3561 2.3785
-3.9995 0.7958 -1.3364
-4.2069 -0.8313 1.8044
-6.8316 1.3826 1.2935
-10.2350 0.6168 0.6720
0.0000 0.0000 0.0000
-6.4229 1.3381 -1.1618


(iii)
HWBr2 | Alexandria via LeMat-Bulk | GGA-PBE | optimized geometry; crystal system = cubic
1.0
3.9145 -0.5540 2.0020
0.1738 -1.6579 4.1060
1.5850 -4.0828 0.6757
H Br W
1 2 1
Cartesian
0.0000 0.0000 0.0000
1.4183 -1.5737 1.6959
4.2550 -4.7211 5.0878
2.8367 -3.1474 3.3919


Quick one: least stable of them? (ii)


(i)
YH2Br2 | Alexandria via LeMat-Bulk | GGA-PBE | optimized geometry; crystal system = tetragonal
1.0
5.0895 0.0000 0.0000
0.0000 5.0895 0.0000
2.5447 2.5447 3.5067
Y H Br
1 2 2
Cartesian
0.0000 0.0000 0.0000
2.5447 2.5447 0.3815
5.0895 5.0895 3.1252
5.0895 2.5447 1.7534
2.5447 5.0895 1.7534


(ii)
YH2Br2 | Alexandria via LeMat-Bulk | GGA-PBE | optimized geometry; crystal system = tetragonal
1.0
-5.2950 -0.8722 -3.3490
-0.2808 -5.9930 2.0047
-2.3327 1.2354 3.3664
Y H Br
2 4 4
Cartesian
0.0000 0.0000 0.0000
-2.7879 -3.4326 -0.6722
-1.9490 -5.2234 0.5663
-4.5548 -4.7681 -1.4064
-3.6268 -1.6418 -1.9106
-1.0211 -2.0971 0.0621
-2.2909 -3.5906 2.4483
-4.9797 -4.9075 1.0684
-5.6176 -2.0392 -0.4262
-2.9288 -0.7223 0.9537


Quick one: least stable of them? (ii)


(i)
ZnH3Br | Alexandria via LeMat-Bulk | GGA-PBE | optimized geometry; crystal system = cubic
1.0
-2.9226 -0.5296 2.3145
-2.0695 -1.2311 -2.8949
1.1639 -3.5189 0.6645
H Zn Br
3 1 1
Cartesian
-1.0347 -0.6156 -1.4474
0.5819 -1.7595 0.3323
-1.4613 -0.2648 1.1573
0.0000 0.0000 0.0000
-1.9141 -2.6398 0.0421


(ii)
ZnH3Br | Alexandria via LeMat-Bulk | GGA-PBE | optimized geometry; crystal system = cubic
1.0
-3.2713 2.1391 -0.6578
-0.5778 -1.9329 -3.4118
-2.1621 -2.7200 1.9071
H Zn Br
3 1 1
Cartesian
-0.2889 -0.9664 -1.7059
-1.0810 -1.3600 0.9536
-1.6357 1.0695 -0.3289
-3.0056 -1.2569 -1.0812
0.0000 0.0000 0.0000


Quick one: least stable of them? (ii)


(i)
Zr2HBr | Alexandria via LeMat-Bulk | GGA-PBE | optimized geometry; crystal system = cubic
1.0
-1.5763 -2.9937 3.1196
-0.1001 1.1561 4.4533
-4.0290 0.7616 2.0896
H Br Zr
1 1 2
Cartesian
0.0000 0.0000 0.0000
-2.8527 -0.5381 4.8312
-1.4263 -0.2690 2.4156
-4.2790 -0.8071 7.2468


(ii)
Zr2HBr | Alexandria via LeMat-Bulk | GGA-PBE | optimized geometry; crystal system = tetragonal
1.0
-4.7317 -2.4783 1.4748
2.2096 -4.9365 -1.2063
0.4337 -4.1116 4.8924
H Br Zr
2 2 4
Cartesian
-1.2611 -3.7074 0.1342
0.6911 -6.3777 1.9101
0.0000 0.0000 0.0000
-2.7796 -5.1487 3.2507
-2.1454 -2.9701 1.8609
0.4707 -4.6468 0.7867
-0.4210 -6.3100 3.6610
-2.0811 -9.1258 4.0131


Quick one: least stable of them? (i)


(i)
ZrH2Br | Alexandria via LeMat-Bulk | GGA-PBE | optimized geometry; crystal system = tetragonal
1.0
-1.8721 -1.9260 3.1193
-2.7295 -1.6057 -2.6296
1.6352 -7.0162 -0.6347
H Br Zr
4 2 2
Cartesian
-1.5709 -3.6404 2.2427
-2.9348 -4.4424 0.9264
0.1838 -6.1847 0.3656
-0.7535 -7.1484 1.9240
-2.3008 -1.7658 0.2448
-1.6976 -5.1939 -1.5098
0.0000 0.0000 0.0000
-1.2689 -5.3540 1.3647


(ii)
ZrH2Br | Alexandria via LeMat-Bulk | GGA-PBE | optimized geometry; crystal system = cubic
1.0
0.2893 -4.0993 0.4154
1.0404 -1.6380 3.6462
-2.8133 -2.0546 2.2192
H Br Zr
2 1 1
Cartesian
-0.3709 -1.9480 1.5702
-1.1127 -5.8439 4.7106
0.0000 0.0000 0.0000
-0.7418 -3.8959 3.1404


Quick one: least stable of them? (ii)